A relaxed structure of Ac2SnAu5. Source: the Alexandria database, functional PBE-GGA.

a = 6.8545 Å, b = 6.8545 Å, c = 8.9670 Å
α = 90.00°, β = 90.00°, γ = 90.00°
Space group I4mm (No. 107)
Asymmetric unit:
Ac  0.0000  0.5000  0.0000 (multiplicity 4)
Sn  0.0000  0.0000  0.2010 (multiplicity 2)
Au  0.0000  0.0000  0.5105 (multiplicity 2)
Au  0.2093  0.2093  0.7545 (multiplicity 8)

raw total energy	-0.306	Ry per atom
formation energy from the elements	-0.59	eV/atom